1.
DFT (PBE) results for a geometry-optimized RbTc2Hg structure.

Theoretical density = 7.15 g/cm3
Energy of formation from the pure elements = 5.1 eV/f.u.

abc: 4.6363 4.6363 10.9171
angles: 77.74 77.74 90.00
Each line ends with the local moment (μB).
Positions (direct):
Tc 0.3750 0.1737 0.7500  0.78
Tc 0.9237 0.6250 0.2500  0.82
Tc 0.8263 0.1250 0.2500  0.82
Tc 0.8750 0.0763 0.7500  0.77
Hg 0.7500 0.2500 0.5000  0.00
Hg 0.0000 0.0000 0.0000  0.00
Rb 0.2500 0.7500 0.5000  0.00
Rb 0.5000 0.5000 0.0000  0.00

2.
DFT (PBE) results for a geometry-optimized Rb3TcHg structure.

Theoretical density = 3.14 g/cm3
Distance to the lowest polymorph of the same formula = 0 meV per atom
Energy of formation from the pure elements = 5.1 eV/f.u.

abc: 6.6452 6.6452 6.6452
angles: 90.00 90.00 90.00
Each line ends with the local moment (μB).
Positions (direct):
Rb 0.0000 0.5000 0.0000  0.00
Rb 0.5000 0.0000 0.0000  0.01
Rb 0.0000 0.0000 0.5000  -0.01
Hg 0.5000 0.5000 0.5000  -0.04
Tc 0.0000 0.0000 0.0000  2.54

3.
DFT (PBE) results for a geometry-optimized Rb2TcHg structure.

Theoretical density = 5.26 g/cm3
Energy of formation from the pure elements = 4.5 eV/f.u.

abc: 9.7474 9.7474 7.5666
angles: 49.90 49.90 90.00
Each line ends with the local moment (μB).
Positions (direct):
Rb 0.3750 0.3695 0.7500  -0.01
Rb 0.6305 0.1250 0.2500  -0.01
Rb 0.1195 0.6250 0.2500  -0.01
Rb 0.8750 0.8805 0.7500  -0.01
Hg 0.0000 0.0000 0.0000  -0.02
Hg 0.7500 0.2500 0.5000  -0.02
Tc 0.2500 0.7500 0.5000  2.91
Tc 0.5000 0.5000 0.0000  2.91

4.
DFT (PBE) results for a geometry-optimized RbTcHg2 structure.

Theoretical density = 6.09 g/cm3
Distance to the lowest polymorph of the same formula = 0 meV per atom
Energy of formation from the pure elements = 3.0 eV/f.u.

abc: 5.9396 5.9396 9.9703
angles: 72.67 72.67 90.00
Each line ends with the local moment (μB).
Positions (direct):
Hg 0.8750 0.0853 0.7500  0.01
Hg 0.9147 0.6250 0.2500  -0.01
Hg 0.8353 0.1250 0.2500  -0.01
Hg 0.3750 0.1647 0.7500  0.00
Tc 0.0000 0.0000 0.0000  2.22
Tc 0.7500 0.2500 0.5000  2.23
Rb 0.2500 0.7500 0.5000  0.00
Rb 0.5000 0.5000 0.0000  0.00

5.
DFT (PBE) results for a geometry-optimized RbTcHg3 structure.

Theoretical density = 4.71 g/cm3
Distance to the lowest polymorph of the same formula = 1036 meV per atom
Energy of formation from the pure elements = 6.6 eV/f.u.

abc: 6.5172 6.5172 6.5172
angles: 90.00 90.00 90.00
Each line ends with the local moment (μB).
Positions (direct):
Rb 0.0000 0.0000 0.0000  -0.01
Hg 0.5000 0.0000 0.0000  -0.02
Hg 0.0000 0.5000 0.0000  -0.02
Hg 0.0000 0.0000 0.5000  -0.01
Tc 0.5000 0.5000 0.5000  3.78

6.
DFT (PBE) results for a geometry-optimized RbTcHg2 structure.

Theoretical density = 8.76 g/cm3
Distance to the lowest polymorph of the same formula = 113 meV per atom
Energy of formation from the pure elements = 3.4 eV/f.u.

abc: 5.3913 5.3913 5.3913
angles: 60.00 60.00 60.00
Each line ends with the local moment (μB).
Positions (direct):
Hg 0.7500 0.7500 0.7500  0.00
Hg 0.2500 0.2500 0.2500  0.00
Rb 0.0000 0.0000 0.0000  -0.01
Tc 0.5000 0.5000 0.5000  3.06

- Which of these has the lowest theoretical density?
  Rb3TcHg

- Among the records above, which one has the highest energy of formation from the pure elements?
  RbTcHg3